(1)
Compound: LaSiSb2
Source: Alexandria via LeMat-Bulk
Functional: SCAN
Structure: single point on PBEsol structure

Geometry as POSCAR:
```
LaSiSb2
1.0
1.999 1.154 7.827
-1.999 1.154 7.827
0.000 -2.308 7.827
La Si Sb
1 1 2
direct
0.000 0.000 0.000
0.500 0.500 0.500
0.236 0.236 0.236
0.764 0.764 0.764
```

Results
- Magnetic moment: 0.00 μB/cell
- Formation energy from raw total energies: -0.1930 eV/atom
- Final energy: -32.104 eV per atom
- N(E_F): 0.786 states/eV/atom
- V: 108.3 Å³/f.u.

(2)
Compound: SiTcPt2
Source: Alexandria via LeMat-Bulk
Functional: SCAN
Structure: single point on PBEsol structure

Geometry as POSCAR:
```
SiTcPt2
1.0
2.629 -3.971 0.000
2.629 3.971 0.000
0.000 0.000 2.710
Si Tc Pt
1 1 2
direct
0.000 0.000 0.000
0.500 0.500 0.000
0.000 0.500 0.500
0.500 0.000 0.500
```

Results
- Magnetic moment: 0.00 μB/cell
- Formation energy from raw total energies: -0.2467 eV/atom
- Final energy: -46.612 eV per atom
- N(E_F): 0.544 states/eV/atom
- V: 56.6 Å³/f.u.